# AcNdHoAg

AcNdHoAg after structural relaxation (PBE, the Alexandria database).

Lattice parameters (Å, degrees): 7.9441 7.9441 7.9441 90.00 90.00 90.00
Space group F-43m (No. 216)
Unique sites:
Ac  0.0000  0.0000  0.0000 [4 per cell]
Nd  0.2500  0.2500  0.2500 [4 per cell]
Ho  0.2500  0.2500  0.7500 [4 per cell]
Ag  0.0000  0.0000  0.5000 [4 per cell]

Values from the calculation:
Formation energy: 174 meV per atom
DFT total energy: -3.9019 eV per atom
Mass density: 8533 kg/m3
Size of the total moment: 0.00 μB per formula unit



# Ba2TlGeC

Ba2TlGeC after structural relaxation (PBE, the Alexandria database).

Lattice parameters (Å, degrees): 6.6355 6.6355 4.0346 90.00 90.00 90.00
Space group P4/mmm (No. 123)
Unique sites:
Ba  0.0000  0.5000  0.0000 [2 per cell]
Tl  0.0000  0.0000  0.0000 [1 per cell]
Ge  0.5000  0.5000  0.5000 [1 per cell]
C  0.0000  0.0000  0.5000 [1 per cell]

Values from the calculation:
Formation energy: 843 meV per atom
DFT total energy: -3.1673 eV per atom
Mass density: 5269 kg/m3
Size of the total moment: 0.00 μB per formula unit



# KHfV3

KHfV3 after structural relaxation (PBE, the Alexandria database).

Lattice parameters (Å, degrees): 5.0815 5.0815 5.0815 90.00 90.00 90.00
Space group Pm-3m (No. 221)
Unique sites:
K  0.0000  0.0000  0.0000 [1 per cell]
Hf  0.5000  0.5000  0.5000 [1 per cell]
V  0.0000  0.5000  0.5000 [3 per cell]

Values from the calculation:
Formation energy: 1699 meV per atom
DFT total energy: -5.9820 eV per atom
ΔE to the lowest computed polymorph: 0.0 meV per atom
Mass density: 4688 kg/m3
Size of the total moment: 7.54 μB per formula unit



# KPb

KPb after structural relaxation (PBE, the Alexandria database).

Lattice parameters (Å, degrees): 4.6783 10.7704 10.5951 90.00 90.00 90.00
Space group Amm2 (No. 38)
Unique sites:
K  0.0000  0.0000  0.0000 [2 per cell]
K  0.5000  0.1833  0.6571 [4 per cell]
Pb  0.0000  0.1451  0.3990 [4 per cell]
Pb  0.5000  0.0000  0.2530 [2 per cell]

Values from the calculation:
Formation energy: -119 meV per atom
DFT total energy: -2.5217 eV per atom
ΔE to the lowest computed polymorph: 122.4 meV per atom
Mass density: 4597 kg/m3
Size of the total moment: 0.00 μB per formula unit



# Tc2SeCl8

Tc2SeCl8 after structural relaxation (PBE, the Alexandria database).

Lattice parameters (Å, degrees): 8.2531 11.4847 7.8161 90.00 93.12 90.00
Space group C2/m (No. 12)
Unique sites:
Tc  0.1181  0.0000  0.2164 [4 per cell]
Se  0.0000  0.0000  0.5000 [2 per cell]
Cl  0.0976  0.2004  0.2384 [8 per cell]
Cl  0.1131  0.5000  0.7192 [4 per cell]
Cl  0.1686  0.0000  0.9162 [4 per cell]

Values from the calculation:
DFT total energy: -3.9714 eV per atom
Formation energy without anion corrections: -41 kJ/mol of atoms
Mass density: 2508 kg/m3
Size of the total moment: 6.08 μB per formula unit



# PrDyEr2

PrDyEr2 after structural relaxation (PBE, the Alexandria database).

Lattice parameters (Å, degrees): 5.0518 5.0518 5.0278 90.00 90.00 90.00
Space group P4/mmm (No. 123)
Unique sites:
Pr  0.0000  0.0000  0.0000 [1 per cell]
Dy  0.5000  0.5000  0.0000 [1 per cell]
Er  0.0000  0.5000  0.5000 [2 per cell]

Values from the calculation:
Formation energy: 25 meV per atom
DFT total energy: -4.6017 eV per atom
ΔE to the lowest computed polymorph: 8.7 meV per atom
Mass density: 8256 kg/m3
Size of the total moment: 0.00 μB per formula unit



# CeDy2Si6

CeDy2Si6 after structural relaxation (PBE, the Alexandria database).

Lattice parameters (Å, degrees): 7.0680 7.0680 3.9998 90.00 90.00 120.00
Space group P6/mmm (No. 191)
Unique sites:
Ce  0.0000  0.0000  0.0000 [1 per cell]
Dy  0.3333  0.6667  0.0000 [2 per cell]
Si  0.0000  0.3343  0.5000 [6 per cell]

Values from the calculation:
DFT total energy: -5.8873 eV per atom
Formation energy without anion corrections: -57 kJ/mol of atoms
Mass density: 6080 kg/m3
Size of the total moment: 0.00 μB per formula unit



# HgBiPb2

HgBiPb2 after structural relaxation (PBE, the Alexandria database).

Lattice parameters (Å, degrees): 4.6655 4.6655 21.4715 90.00 90.00 120.00
Space group R3m (No. 160, hexagonal axes)
Unique sites:
Hg  0.0000  0.0000  0.0000 [3 per cell]
Bi  0.0000  0.0000  0.8300 [3 per cell]
Pb  0.0000  0.0000  0.4081 [3 per cell]
Pb  0.0000  0.0000  0.5837 [3 per cell]

Values from the calculation:
Formation energy: 63 meV per atom
DFT total energy: -2.8364 eV per atom
ΔE to the lowest computed polymorph: 50.9 meV per atom
Mass density: 10141 kg/m3
Size of the total moment: 0.00 μB per formula unit



# SrY3Ag4

SrY3Ag4 after structural relaxation (PBE, the Alexandria database).

Lattice parameters (Å, degrees): 5.2431 5.2431 7.3956 90.00 90.00 90.00
Space group P4/mmm (No. 123)
Unique sites:
Sr  0.0000  0.0000  0.0000 [1 per cell]
Y  0.0000  0.0000  0.5000 [1 per cell]
Y  0.5000  0.5000  0.0000 [1 per cell]
Y  0.5000  0.5000  0.5000 [1 per cell]
Ag  0.0000  0.5000  0.2681 [4 per cell]

Values from the calculation:
Formation energy: -283 meV per atom
DFT total energy: -4.3432 eV per atom
Mass density: 6418 kg/m3
Size of the total moment: 0.00 μB per formula unit



# La2PRh

La2PRh after structural relaxation (PBE, the Alexandria database).

Lattice parameters (Å, degrees): 4.3010 4.1126 11.0311 90.00 90.00 90.00
Space group Amm2 (No. 38)
Unique sites:
La  0.0000  0.0000  0.0000 [2 per cell]
La  0.5000  0.0000  0.2717 [2 per cell]
P  0.5000  0.0000  0.5571 [2 per cell]
Rh  0.0000  0.0000  0.7202 [2 per cell]

Values from the calculation:
Formation energy: -1082 meV per atom
DFT total energy: -6.7365 eV per atom
Mass density: 7007 kg/m3
Size of the total moment: 0.00 μB per formula unit



# BeCoAu2

BeCoAu2 after structural relaxation (PBE, the Alexandria database).

Lattice parameters (Å, degrees): 2.8550 2.8550 24.3975 90.00 90.00 120.00
Space group R-3m (No. 166, hexagonal axes)
Unique sites:
Be  0.0000  0.0000  0.0000 [3 per cell]
Co  0.0000  0.0000  0.5000 [3 per cell]
Au  0.0000  0.0000  0.2571 [6 per cell]

Values from the calculation:
Formation energy: 205 meV per atom
DFT total energy: -4.1421 eV per atom
Mass density: 13360 kg/m3
Size of the total moment: 1.77 μB per formula unit



# Tm2Mg3Ni2

Tm2Mg3Ni2 after structural relaxation (PBE, the Alexandria database).

Lattice parameters (Å, degrees): 10.1241 3.8128 7.4804 90.00 97.19 90.00
Space group C2/m (No. 12)
Unique sites:
Tm  0.1243  0.0000  0.3694 [4 per cell]
Mg  0.0000  0.5000  0.0000 [2 per cell]
Mg  0.1875  0.0000  0.8523 [4 per cell]
Ni  0.0830  0.5000  0.6358 [4 per cell]

Values from the calculation:
Formation energy: -284 meV per atom
DFT total energy: -3.8964 eV per atom
ΔE to the lowest computed polymorph: 27.3 meV per atom
Mass density: 6123 kg/m3
Size of the total moment: 0.00 μB per formula unit